one.
A relaxed structure of TbSm3Sb3, computed with PBE.

a = 9.357 Å, b = 9.357 Å, c = 9.357 Å
α = 90.00°, β = 90.00°, γ = 90.00°
Positions (direct):
Tb1 0.072 0.428 0.572
Tb2 0.428 0.572 0.072
Tb3 0.572 0.072 0.428
Tb4 0.928 0.928 0.928
Sm1 0.069 0.569 0.931
Sm2 0.178 0.178 0.178
Sm3 0.179 0.821 0.321
Sm4 0.321 0.179 0.821
Sm5 0.322 0.822 0.678
Sm6 0.431 0.431 0.431
Sm7 0.569 0.931 0.069
Sm8 0.678 0.322 0.822
Sm9 0.679 0.679 0.679
Sm10 0.821 0.321 0.179
Sm11 0.822 0.678 0.322
Sm12 0.931 0.069 0.569
Sb1 0.001 0.747 0.627
Sb2 0.127 0.499 0.253
Sb3 0.247 0.873 0.999
Sb4 0.253 0.127 0.499
Sb5 0.373 0.501 0.753
Sb6 0.499 0.253 0.127
Sb7 0.501 0.753 0.373
Sb8 0.627 0.001 0.747
Sb9 0.747 0.627 0.001
Sb10 0.753 0.373 0.501
Sb11 0.873 0.999 0.247
Sb12 0.999 0.247 0.873

Values from the calculation:
spin magnetization	0.00	μB/cell
volume	29.26	Å³ per atom

=====

two.
A relaxed structure of TbSm3Sb3, computed with PBE.

a = 8.170 Å, b = 8.170 Å, c = 8.170 Å
α = 67.89°, β = 67.89°, γ = 67.89°
Positions (direct):
Tb1 0.167 0.167 0.167
Tb2 0.833 0.833 0.833
Sm1 0.152 0.409 0.680
Sm2 0.320 0.848 0.591
Sm3 0.409 0.680 0.152
Sm4 0.591 0.320 0.848
Sm5 0.680 0.152 0.409
Sm6 0.848 0.591 0.320
Sb1 0.032 0.804 0.425
Sb2 0.196 0.575 0.968
Sb3 0.425 0.032 0.804
Sb4 0.575 0.968 0.196
Sb5 0.804 0.425 0.032
Sb6 0.968 0.196 0.575

Values from the calculation:
spin magnetization	0.00	μB/cell
volume	32.16	Å³ per atom

=====

Pick one: it beats the second-best structure by 99 meV per atom.

=====

one.
A relaxed structure of Sm3Sb2Te, computed with PBE.

a = 7.739 Å, b = 7.739 Å, c = 7.727 Å
α = 99.60°, β = 99.60°, γ = 120.02°
Positions (direct):
Sm1 0.000 0.500 0.000
Sm2 0.156 0.328 0.499
Sm3 0.328 0.156 0.999
Sm4 0.500 0.000 0.500
Sm5 0.672 0.844 0.001
Sm6 0.844 0.672 0.501
Sb1 0.084 0.916 0.250
Sb2 0.252 0.748 0.750
Sb3 0.748 0.252 0.250
Sb4 0.916 0.084 0.750
Te1 0.418 0.582 0.250
Te2 0.582 0.418 0.750

Values from the calculation:
spin magnetization	0.00	μB/cell
volume	31.47	Å³ per atom

=====

two.
A relaxed structure of Sm3Sb2Te, computed with PBE.

a = 8.481 Å, b = 8.481 Å, c = 8.481 Å
α = 124.02°, β = 96.81°, γ = 108.78°
Positions (direct):
Sm1 0.000 0.222 0.222
Sm2 0.000 0.778 0.778
Sm3 0.500 0.000 0.000
Sm4 0.500 0.222 0.722
Sm5 0.500 0.500 0.500
Sm6 0.500 0.778 0.278
Sb1 0.245 0.714 0.531
Sb2 0.318 0.286 0.031
Sb3 0.682 0.714 0.969
Sb4 0.755 0.286 0.469
Te1 0.230 0.980 0.250
Te2 0.770 0.020 0.750

Values from the calculation:
spin magnetization	0.00	μB/cell
volume	36.88	Å³ per atom

=====

Pick one: it beats the second-best structure by 427 meV per atom.

=====

one.
A relaxed structure of Sm2SbTe, computed with PBE.

a = 4.459 Å, b = 6.306 Å, c = 8.939 Å
α = 90.00°, β = 90.00°, γ = 90.00°
Positions (direct):
Sm1 0.250 0.250 0.118
Sm2 0.250 0.250 0.635
Sm3 0.750 0.750 0.365
Sm4 0.750 0.750 0.882
Sb1 0.250 0.750 0.125
Sb2 0.750 0.250 0.875
Te1 0.250 0.750 0.622
Te2 0.750 0.250 0.378

Values from the calculation:
spin magnetization	0.00	μB/cell
volume	31.42	Å³ per atom

=====

two.
A relaxed structure of Sm2SbTe, computed with PBE.

a = 8.104 Å, b = 8.104 Å, c = 8.104 Å
α = 31.28°, β = 31.28°, γ = 31.28°
Positions (direct):
Sm1 0.000 0.000 0.000
Sm2 0.178 0.178 0.178
Sb1 0.588 0.588 0.588
Te1 0.757 0.757 0.757

Values from the calculation:
spin magnetization	0.00	μB/cell
volume	31.83	Å³ per atom

=====

Pick one: it beats the second-best structure by 52 meV per atom.

=====

one.
A relaxed structure of Sm4Sb2Te, computed with PBE.

a = 7.810 Å, b = 6.544 Å, c = 9.355 Å
α = 90.00°, β = 111.46°, γ = 90.00°
Positions (direct):
Sm1 0.121 0.250 0.087
Sm2 0.190 0.750 0.354
Sm3 0.290 0.002 0.769
Sm4 0.290 0.498 0.769
Sm5 0.710 0.502 0.231
Sm6 0.710 0.998 0.231
Sm7 0.810 0.250 0.646
Sm8 0.879 0.750 0.913
Sb1 0.071 0.250 0.438
Sb2 0.312 0.750 0.068
Sb3 0.688 0.250 0.932
Sb4 0.929 0.750 0.562
Te1 0.470 0.250 0.366
Te2 0.530 0.750 0.634

Values from the calculation:
spin magnetization	0.00	μB/cell
volume	31.78	Å³ per atom

=====

two.
A relaxed structure of Sm4Sb2Te, computed with PBE.

a = 8.118 Å, b = 8.118 Å, c = 8.118 Å
α = 109.59°, β = 109.59°, γ = 109.24°
Positions (direct):
Sm1 0.127 0.233 0.749
Sm2 0.128 0.734 0.751
Sm3 0.266 0.017 0.394
Sm4 0.484 0.378 0.251
Sm5 0.622 0.873 0.106
Sm6 0.623 0.872 0.606
Sm7 0.767 0.516 0.894
Sm8 0.983 0.377 0.249
Sb1 0.250 0.625 0.125
Sb2 0.375 0.500 0.625
Sb3 0.500 0.125 0.875
Sb4 0.875 0.750 0.375
Te1 0.000 0.000 0.000
Te2 0.750 0.250 0.500

Values from the calculation:
spin magnetization	0.00	μB/cell
volume	29.41	Å³ per atom

=====

Pick two: it beats the second-best structure by 250 meV per atom.